a.
Compound: Rb2MoPt
Source: Alexandria via LeMat-Bulk
Functional: PBE-GGA
Structure: relaxed

Unit cell a=12.728 b=12.728 c=4.923 alpha=90.00 beta=90.00 gamma=90.00
Sites, in units of the cell vectors:
1 Rb 0.080 0.750 0.125
2 Rb 0.250 0.080 0.875
3 Rb 0.250 0.420 0.375
4 Rb 0.420 0.750 0.625
5 Rb 0.580 0.250 0.625
6 Rb 0.750 0.580 0.375
7 Rb 0.750 0.920 0.875
8 Rb 0.920 0.250 0.125
9 Mo 0.000 0.000 0.500
10 Mo 0.000 0.500 0.750
11 Mo 0.500 0.000 0.250
12 Mo 0.500 0.500 0.000
13 Pt 0.000 0.000 0.000
14 Pt 0.000 0.500 0.250
15 Pt 0.500 0.000 0.750
16 Pt 0.500 0.500 0.500

=====

b.
Compound: Rb2MoPt
Source: Alexandria via LeMat-Bulk
Functional: PBE-GGA
Structure: relaxed

Unit cell a=8.188 b=8.188 c=8.188 alpha=90.00 beta=90.00 gamma=90.00
Sites, in units of the cell vectors:
1 Rb 0.250 0.250 0.250
2 Rb 0.250 0.250 0.750
3 Rb 0.250 0.750 0.250
4 Rb 0.250 0.750 0.750
5 Rb 0.750 0.250 0.250
6 Rb 0.750 0.250 0.750
7 Rb 0.750 0.750 0.250
8 Rb 0.750 0.750 0.750
9 Mo 0.000 0.000 0.000
10 Mo 0.000 0.500 0.500
11 Mo 0.500 0.000 0.500
12 Mo 0.500 0.500 0.000
13 Pt 0.000 0.000 0.500
14 Pt 0.000 0.500 0.000
15 Pt 0.500 0.000 0.000
16 Pt 0.500 0.500 0.500

=====

Question: of the structures shown, which is the least stable? Reply: b.